## EuGdAl (PBE)

Data for a relaxed structure of EuGdAl.

Values from the calculation:
- M_tot: 0.04 μB/cell
- DOS at the Fermi energy: 2.94 states/eV per cell
- DFT total energy: -9.536 eV per atom

Cell lengths 3.7157, 3.7157, 6.9769 Å; angles 105.44, 105.44, 90.00 degrees
Atoms (fractional coordinates):
Gd  0.3020  0.3020  0.6041
Al  0.6747  0.6747  0.3495
Eu  0.0232  0.0232  0.0464

=====

## CePaRh (PBE)

Data for a relaxed structure of CePaRh.

Values from the calculation:
- M_tot: 0.01 μB/cell
- DOS at the Fermi energy: 39.11 states/eV per cell
- Energy relative to the lowest polymorph listed for this composition: 19.8 meV/atom

Cell lengths 7.5859, 8.5730, 8.5371 Å; angles 60.14, 90.00, 116.26 degrees
Atoms (fractional coordinates):
Rh  0.2004  0.9182  0.2909
Rh  0.5971  0.6795  0.6404
Rh  0.2822  0.0818  0.7091
Rh  0.9176  0.3205  0.8199
Rh  0.9176  0.3205  0.3596
Rh  0.5971  0.6795  0.1801
Ce  0.8210  0.5765  0.9617
Ce  0.6508  0.0119  0.2441
Ce  0.2589  0.4573  0.5213
Ce  0.2445  0.4235  0.0383
Ce  0.8016  0.5427  0.4786
Ce  0.6389  0.9881  0.7559
Pa  0.2473  0.7358  0.0935
Pa  0.9976  0.0000  0.5000
Pa  0.5114  0.2642  0.3294
Pa  0.9976  0.0000  0.0000
Pa  0.5114  0.2642  0.9065
Pa  0.2473  0.7358  0.6706

=====

## KBa2Na2 (PBE)

Data for a relaxed structure of KBa2Na2.

Values from the calculation:
- M_tot: 0.00 μB/cell
- DOS at the Fermi energy: 10.70 states/eV per cell
- Energy relative to the lowest polymorph listed for this composition: 27.9 meV/atom

Cell lengths 6.9617, 4.6199, 18.4885 Å; angles 97.18, 100.85, 90.00 degrees
Atoms (fractional coordinates):
Na  0.6371  0.8871  0.2742
Na  0.7337  0.9837  0.4674
Na  0.3629  0.1129  0.7258
Na  0.2663  0.0163  0.5326
K  0.1679  0.4179  0.3359
K  0.8321  0.5821  0.6641
Ba  0.0526  0.8026  0.1052
Ba  0.4516  0.7016  0.9032
Ba  0.5484  0.2984  0.0968
Ba  0.9474  0.1974  0.8948

=====

## TmNp2Co9 (PBE)

Data for a relaxed structure of TmNp2Co9.

Values from the calculation:
- M_tot: 2.66 μB/cell
- DOS at the Fermi energy: 20.53 states/eV per cell
- DFT total energy: -7.983 eV per atom

Cell lengths 4.8503, 4.8503, 8.6252 Å; angles 73.67, 73.67, 60.00 degrees
Atoms (fractional coordinates):
Co  0.4188  0.4188  0.2449
Co  0.9175  0.4188  0.2449
Co  0.4188  0.9175  0.2449
Co  0.3328  0.3328  0.0017
Co  0.5812  0.0825  0.7551
Co  0.5812  0.5812  0.7551
Co  0.5000  0.5000  0.5000
Co  0.0825  0.5812  0.7551
Co  0.6672  0.6672  0.9983
Np  0.1405  0.1405  0.5786
Np  0.8595  0.8595  0.4214
Tm  0.0000  0.0000  0.0000

=====

## NaLiPt (PBE)

Data for a relaxed structure of NaLiPt.

Values from the calculation:
- M_tot: 0.00 μB/cell
- Energy relative to the lowest polymorph listed for this composition: 574.4 meV/atom

Cell lengths 4.4861, 4.4861, 4.4861 Å; angles 60.00, 60.00, 60.00 degrees
Atoms (fractional coordinates):
Pt  0.0000  0.0000  0.0000
Li  0.5000  0.5000  0.5000
Na  0.2500  0.2500  0.2500

=====

## Be2PPb (PBE)

Data for a relaxed structure of Be2PPb.

Values from the calculation:
- M_tot: 0.00 μB/cell
- DOS at the Fermi energy: 2.10 states/eV per cell
- Energy relative to the lowest polymorph listed for this composition: 702.0 meV/atom

Cell lengths 4.2327, 4.2327, 3.6686 Å; angles 90.00, 90.00, 90.00 degrees
Atoms (fractional coordinates):
Pb  0.0000  0.5000  0.5000
P  0.5000  0.0000  0.5000
Be  0.5000  0.5000  0.0000
Be  0.0000  0.0000  0.0000

=====

## YTh6Co3 (PBE)

Data for a relaxed structure of YTh6Co3.

Values from the calculation:
- M_tot: 0.00 μB/cell
- DOS at the Fermi energy: 22.84 states/eV per cell
- DFT total energy: -7.329 eV per atom

Cell lengths 7.1490, 8.5242, 8.5242 Å; angles 92.78, 90.00, 90.00 degrees
Atoms (fractional coordinates):
Th  0.8282  0.9926  0.5242
Th  0.1027  0.6880  0.3120
Th  0.2422  0.9705  0.0295
Th  0.3282  0.0074  0.4758
Th  0.6027  0.3120  0.6880
Th  0.0706  0.6830  0.7023
Th  0.8282  0.4758  0.0074
Th  0.7422  0.0295  0.9705
Th  0.5706  0.7023  0.6830
Th  0.0706  0.2977  0.3170
Th  0.3282  0.5242  0.9926
Th  0.5706  0.3170  0.2977
Y  0.6216  0.7403  0.2597
Y  0.1216  0.2597  0.7403
Co  0.4446  0.2428  0.9875
Co  0.3320  0.4635  0.5365
Co  0.8320  0.5365  0.4635
Co  0.4446  0.0125  0.7572
Co  0.9446  0.9875  0.2428
Co  0.9446  0.7572  0.0125

=====

## ZnHSe2 (PBE)

Data for a relaxed structure of ZnHSe2.

Values from the calculation:
- M_tot: 0.85 μB/cell
- DOS at the Fermi energy: 3.67 states/eV per cell
- Energy relative to the lowest polymorph listed for this composition: 0.0 meV/atom

Cell lengths 6.5696, 6.5696, 6.5696 Å; angles 34.58, 34.58, 34.58 degrees
Atoms (fractional coordinates):
H  0.0000  0.0000  0.0000
Zn  0.5000  0.5000  0.5000
Se  0.9054  0.9054  0.9054
Se  0.0946  0.0946  0.0946